! PBE LaDyAlPd, relaxed; values from VASP
! - formation energy from the elements (eV/atom) = -0.51
&SYSTEM
  ibrav = 0, nat = 4, ntyp = 4
/
ATOMIC_SPECIES
La 138.91 La.upf
Al 26.98 Al.upf
Pd 106.42 Pd.upf
Dy 162.50 Dy.upf
ATOMIC_POSITIONS crystal
La 0.7500 0.7500 0.7500
Al 0.5000 0.5000 0.5000
Pd 0.0000 0.0000 0.0000
Dy 0.2500 0.2500 0.2500
CELL_PARAMETERS angstrom
5.1933 0.0000 0.0000
2.5966 4.4975 0.0000
2.5966 1.4992 4.2403

---

! PBE Na17Cd11Au, relaxed; values from VASP
! - formation energy from the elements (eV/atom) = -0.10
&SYSTEM
  ibrav = 0, nat = 29, ntyp = 3
/
ATOMIC_SPECIES
Na 22.99 Na.upf
Cd 112.41 Cd.upf
Au 196.97 Au.upf
ATOMIC_POSITIONS crystal
Na 0.9956 0.9956 0.3483
Na 0.6734 0.6734 0.2739
Na 0.6549 0.6549 0.6554
Na 0.4090 0.4090 0.7201
Na 0.0052 0.0052 0.0033
Na 0.3140 0.5868 0.0013
Na 0.4061 0.7092 0.4010
Na 0.9995 0.3160 0.5888
Na 0.0080 0.3482 0.0047
Na 0.2805 0.6909 0.6898
Na 0.5910 0.9989 0.3143
Na 0.9989 0.5910 0.3143
Na 0.6909 0.2805 0.6898
Na 0.3482 0.0080 0.0047
Na 0.3160 0.9995 0.5888
Na 0.7092 0.4061 0.4010
Na 0.5868 0.3140 0.0013
Cd 0.1887 0.1887 0.8277
Cd 0.6387 0.8177 0.0018
Cd 0.1827 0.3640 0.3601
Cd 0.8173 0.0003 0.6361
Cd 0.6389 0.0010 0.8159
Cd 0.8222 0.1862 0.1851
Cd 0.1862 0.8222 0.1851
Cd 0.0010 0.6389 0.8159
Cd 0.0003 0.8173 0.6361
Cd 0.3640 0.1827 0.3601
Cd 0.8177 0.6387 0.0018
Au 0.3552 0.3552 0.1734
CELL_PARAMETERS angstrom
-7.7181 5.0489 4.0602
-0.7655 0.1196 -10.0472
-0.1845 -9.5586 3.2490

---

! PBE Sm3DyTh, relaxed; values from VASP
! - formation energy from the elements (eV/atom) = 0.05
! - excess energy over the best structure of this formula in the dataset (meV/atom) = 0
&SYSTEM
  ibrav = 0, nat = 10, ntyp = 3
/
ATOMIC_SPECIES
Sm 150.36 Sm.upf
Dy 162.50 Dy.upf
Th 232.04 Th.upf
ATOMIC_POSITIONS crystal
Sm 0.2593 0.7048 0.2598
Sm 0.9273 0.7024 0.7440
Sm 0.6605 0.5022 0.2426
Sm 0.3395 0.4978 0.7574
Sm 0.7407 0.2952 0.7402
Sm 0.0727 0.2976 0.2560
Dy 0.4599 0.0918 0.2430
Dy 0.5401 0.9082 0.7570
Th 0.1194 0.0971 0.7489
Th 0.8806 0.9029 0.2511
CELL_PARAMETERS angstrom
-1.3326 0.7527 -6.1079
9.1159 -2.9659 0.8977
-8.5239 -3.4745 1.4274

---

Sr2InHgBr | PBE | relaxed Values from VASP.

Geometry as Quantum ESPRESSO input:
```
&SYSTEM
  ibrav = 0, nat = 5, ntyp = 4
/
ATOMIC_SPECIES
Sr 87.62 Sr.upf
Hg 200.59 Hg.upf
Br 79.90 Br.upf
In 114.82 In.upf
ATOMIC_POSITIONS crystal
Sr 0.0000 0.0000 0.5000
Sr 0.5000 0.0000 0.0000
Hg 0.0000 0.5000 0.0000
Br 0.0000 0.0000 0.0000
In 0.5000 0.5000 0.5000
CELL_PARAMETERS angstrom
-1.5397 -6.6658 -1.2187
9.6605 -1.4263 -4.4041
2.5782 -1.7320 6.2163
```

---

no.,magnetic moment (μB per formula unit),DOS(E_F) (states/eV per atom),electronic total energy (hartree per atom)
1,0.00,0.918,-0.1883
2,0.00,0.604,-0.0490
3,0.00,1.672,-0.1905
4,0.79,1.035,-0.0512